SrSnSb, relaxed, DFT GGA-PBE; VASP energy = -0.2700 Ry per atom; E_form (uncorrected) = -0.4041 eV/atom; mass density = 5.1 g/cm3; crystal system = orthorhombic
1.0
0.000 6.218 8.213
4.173 0.000 8.213
4.173 6.218 0.000
Sr Sn Sb
4 4 4
direct
0.067 0.067 0.683
0.317 0.317 0.933
0.683 0.683 0.067
0.933 0.933 0.317
0.000 0.500 0.500
0.500 0.000 0.500
0.500 0.500 0.000
0.500 0.500 0.500
0.048 0.702 0.702
0.298 0.952 0.952
0.702 0.048 0.048
0.952 0.298 0.298

ZnBiO2F, relaxed, DFT GGA-PBE; VASP energy = -0.3369 Ry per atom; E_form (uncorrected) = -1.1952 eV/atom; mass density = 8.5 g/cm3; crystal system = tetragonal
1.0
4.059 0.000 0.000
0.000 4.059 0.000
0.000 0.000 3.876
Zn Bi O F
1 1 2 1
direct
0.000 0.000 0.000
0.500 0.500 0.500
0.000 0.500 0.000
0.500 0.000 0.000
0.000 0.000 0.500

RbSiSb3, relaxed, DFT GGA-PBE; VASP energy = -0.2545 Ry per atom; excess energy over the best structure of this formula in the dataset = 0.0000 eV per atom; E_form (uncorrected) = 0.2892 eV/atom; mass density = 4.9 g/cm3; crystal system = cubic
1.0
5.445 0.000 0.000
0.000 5.445 0.000
0.000 0.000 5.445
Rb Si Sb
1 1 3
direct
0.000 0.000 0.000
0.500 0.500 0.500
0.000 0.500 0.500
0.500 0.000 0.500
0.500 0.500 0.000